Entry 1:
DFT (PBEsol) results for an optimized crystal structure of Rb3Bi2.

Cell lengths 6.947, 6.947, 9.672 Å; angles 100.86, 100.86, 91.92 degrees
Sites, in units of the cell vectors:
Rb1 0.159 0.841 0.750
Rb2 0.245 0.343 0.017
Rb3 0.343 0.245 0.517
Rb4 0.657 0.755 0.483
Rb5 0.755 0.657 0.983
Rb6 0.841 0.159 0.250
Bi1 0.114 0.689 0.344
Bi2 0.311 0.886 0.156
Bi3 0.689 0.114 0.844
Bi4 0.886 0.311 0.656

Computed properties:
The energy is -2.64 eV per atom.


Entry 2:
DFT (PBEsol) results for an optimized crystal structure of PSeBr2.

Cell lengths 3.336, 3.336, 9.541 Å; angles 90.00, 90.00, 122.44 degrees
Sites, in units of the cell vectors:
P1 0.000 0.000 0.000
Se1 0.000 0.000 0.500
Br1 0.500 0.500 0.202
Br2 0.500 0.500 0.798

Computed properties:
The calculation puts the uncorrected formation energy at 2.0 eV per formula unit. As for the energy above the lowest structure with this stoichiometry: 462 meV/atom.


Entry 3:
DFT (PBEsol) results for an optimized crystal structure of Cs3BO3.

Cell lengths 10.889, 10.951, 10.357 Å; angles 90.00, 90.00, 90.00 degrees
Sites, in units of the cell vectors:
Cs1 0.000 0.000 0.184
Cs2 0.000 0.000 0.816
Cs3 0.000 0.500 0.315
Cs4 0.000 0.500 0.685
Cs5 0.019 0.331 0.000
Cs6 0.168 0.015 0.500
Cs7 0.247 0.743 0.250
Cs8 0.247 0.743 0.750
Cs9 0.253 0.243 0.250
Cs10 0.253 0.243 0.750
Cs11 0.332 0.515 0.500
Cs12 0.481 0.831 0.000
Cs13 0.500 0.000 0.315
Cs14 0.500 0.000 0.685
Cs15 0.500 0.500 0.184
Cs16 0.500 0.500 0.816
Cs17 0.519 0.169 0.000
Cs18 0.668 0.485 0.500
Cs19 0.747 0.757 0.250
Cs20 0.747 0.757 0.750
Cs21 0.753 0.257 0.250
Cs22 0.753 0.257 0.750
Cs23 0.832 0.985 0.500
Cs24 0.981 0.669 0.000
B1 0.034 0.756 0.500
B2 0.244 0.533 0.000
B3 0.256 0.033 0.000
B4 0.466 0.256 0.500
B5 0.534 0.744 0.500
B6 0.744 0.967 0.000
B7 0.756 0.467 0.000
B8 0.966 0.244 0.500
O1 0.008 0.196 0.382
O2 0.008 0.196 0.618
O3 0.122 0.662 0.500
O4 0.164 0.122 0.000
O5 0.197 0.491 0.118
O6 0.197 0.491 0.882
O7 0.303 0.991 0.118
O8 0.303 0.991 0.882
O9 0.336 0.622 0.000
O10 0.378 0.162 0.500
O11 0.492 0.696 0.382
O12 0.492 0.696 0.618
O13 0.508 0.304 0.382
O14 0.508 0.304 0.618
O15 0.622 0.838 0.500
O16 0.664 0.378 0.000
O17 0.697 0.009 0.118
O18 0.697 0.009 0.882
O19 0.803 0.509 0.118
O20 0.803 0.509 0.882
O21 0.836 0.878 0.000
O22 0.878 0.338 0.500
O23 0.992 0.804 0.382
O24 0.992 0.804 0.618

Computed properties:
The calculation puts the uncorrected formation energy at -13.3 eV per formula unit.


Entry 4:
DFT (PBEsol) results for an optimized crystal structure of BiPCS2.

Cell lengths 4.304, 4.304, 4.160 Å; angles 90.00, 90.00, 90.00 degrees
Sites, in units of the cell vectors:
Bi1 0.000 0.000 0.000
P1 0.500 0.500 0.000
C1 0.500 0.500 0.500
S1 0.000 0.500 0.500
S2 0.500 0.000 0.500

Computed properties:
The calculation puts the uncorrected formation energy at 4.2 eV per formula unit.


Entry 5:
DFT (PBEsol) results for an optimized crystal structure of Si3RhC.

Cell lengths 3.923, 3.923, 3.923 Å; angles 90.00, 90.00, 90.00 degrees
Sites, in units of the cell vectors:
Si1 0.000 0.000 0.500
Si2 0.000 0.500 0.000
Si3 0.500 0.000 0.000
Rh1 0.500 0.500 0.500
C1 0.000 0.000 0.000

Computed properties:
The calculation puts the uncorrected formation energy at 2.6 eV per formula unit.


Entry 6:
DFT (PBEsol) results for an optimized crystal structure of KCaHg3.

Cell lengths 5.792, 5.792, 5.792 Å; angles 90.00, 90.00, 90.00 degrees
Sites, in units of the cell vectors:
K1 0.000 0.000 0.000
Ca1 0.500 0.500 0.500
Hg1 0.000 0.500 0.500
Hg2 0.500 0.000 0.500
Hg3 0.500 0.500 0.000

Computed properties:
The energy is -1.00 eV per atom.